# Tb5Sb4N, relaxed, DFT GGA-PBE
data_Tb5Sb4N
_space_group_name_H-M_alt 'I 4'
_space_group_IT_number 79
_space_group_name_Hall 'I 4'
_cell_length_a 9.3992
_cell_length_b 9.3992
_cell_length_c 6.1931
_cell_angle_alpha 90.00
_cell_angle_beta 90.00
_cell_angle_gamma 90.00
loop_
_atom_site_label
_atom_site_type_symbol
_atom_site_fract_x
_atom_site_fract_y
_atom_site_fract_z
Tb1 Tb 0.0000 0.0000 0.0000
Tb2 Tb 0.0952 0.7407 0.5786
Sb1 Sb 0.0861 0.6927 0.0816
N1 N 0.0000 0.0000 0.6369
# Calculated total energy in eV per atom: -5.87
# N(E_F) in states/eV per cell: 4.15
# Spin magnetization in μB per formula unit: 0.0